1.
Here is a geometry-optimized HoZr4Pa3N8 structure from Alexandria via LeMat-Bulk. Energies are from PBE-GGA.

Cell lengths 6.7489, 6.7522, 6.7484 Å; angles 119.98, 120.00, 90.00 degrees
With the nearest neighbours (Å) after each atom.
Sites, in units of the cell vectors:
N (0.2533, 0.7594, 0.0060)  3 Zr 2.36, 2 Pa 2.42, 1 Ho 2.42
Pa (0.5000, 0.5000, 0.5000)  6 N 2.42-2.44
N (0.2533, 0.7594, 0.5067)  3 Zr 2.35-2.36, 2 Pa 2.42, 1 Ho 2.42
N (0.2473, 0.2406, 0.9940)  3 Zr 2.36, 2 Pa 2.42, 1 Ho 2.42
Zr (0.0000, 0.0000, 0.5000)  6 N 2.34-2.36
N (0.7467, 0.2406, 0.9940)  3 Zr 2.36, 2 Pa 2.42, 1 Ho 2.42
Zr (0.5000, 0.0000, 0.5000)  6 N 2.34-2.36
N (0.7527, 0.7594, 0.0060)  3 Zr 2.36, 2 Pa 2.42, 1 Ho 2.42
Pa (0.5000, 0.5000, 0.0000)  6 N 2.42-2.44
N (0.7552, 0.7656, 0.5104)  3 Zr 2.34, 3 Pa 2.44
N (0.7467, 0.2406, 0.4933)  3 Zr 2.35-2.36, 2 Pa 2.42, 1 Ho 2.42
Zr (0.5000, 0.0000, 0.0000)  6 N 2.35-2.36
N (0.2448, 0.2344, 0.4896)  3 Zr 2.34, 3 Pa 2.44
Ho (0.0000, 0.5000, 0.0000)  6 N 2.42
Zr (0.0000, 0.0000, 0.0000)  6 N 2.34-2.36
Pa (0.0000, 0.5000, 0.5000)  6 N 2.42-2.44

Results
SG	R-3m

2.
Here is a geometry-optimized Nb5GaGe2 structure from Alexandria via LeMat-Bulk. Energies are from PBE-GGA.

Cell lengths 6.7476, 6.7476, 7.6898 Å; angles 116.02, 116.02, 90.00 degrees
With the nearest neighbours (Å) after each atom.
Sites, in units of the cell vectors:
Nb (0.5103, 0.6840, 0.6944)  3 Ge 2.67-2.73, 2 Ga 2.78, 1 Nb 2.87
Nb (0.8160, 0.9897, 0.3056)  3 Ge 2.67-2.73, 2 Ga 2.78, 1 Nb 2.87
Nb (0.6840, 0.1840, 0.6944)  3 Ge 2.67-2.73, 2 Ga 2.78, 1 Nb 2.87
Nb (0.1840, 0.0103, 0.6944)  3 Ge 2.67-2.73, 2 Ga 2.78, 1 Nb 2.87
Ge (0.6349, 0.1349, 0.0000)  1 Ge 2.57, 8 Nb 2.63-2.73
Nb (0.9897, 0.4897, 0.3056)  3 Ge 2.67-2.73, 2 Ga 2.78, 1 Nb 2.87
Nb (0.3160, 0.8160, 0.3056)  3 Ge 2.67-2.73, 2 Ga 2.78, 1 Nb 2.87
Nb (0.4897, 0.3160, 0.3056)  3 Ge 2.67-2.73, 2 Ga 2.78, 1 Nb 2.87
Nb (0.0103, 0.5103, 0.6944)  3 Ge 2.67-2.73, 2 Ga 2.78, 1 Nb 2.87
Nb (0.0000, 0.0000, 0.0000)  4 Ge 2.63
Ge (0.1349, 0.3651, 0.0000)  1 Ge 2.57, 8 Nb 2.63-2.73
Ga (0.7500, 0.7500, 0.5000)  10 Nb 2.78-3.02
Nb (0.5000, 0.5000, 0.0000)  4 Ge 2.63
Ga (0.2500, 0.2500, 0.5000)  10 Nb 2.78-3.02
Ge (0.8651, 0.6349, 0.0000)  1 Ge 2.57, 8 Nb 2.63-2.73
Ge (0.3651, 0.8651, 0.0000)  1 Ge 2.57, 8 Nb 2.63-2.73

Results
SG	I4/mcm
DFT formation energy	-0.463	eV/atom

3.
Here is a geometry-optimized Tb4SmPu3S8 structure from Alexandria via LeMat-Bulk. Energies are from PBE-GGA.

Cell lengths 7.8792, 7.9116, 7.8794 Å; angles 119.87, 120.00, 90.00 degrees
With the nearest neighbours (Å) after each atom.
Sites, in units of the cell vectors:
S (0.2496, 0.2488, 0.4992)  3 Tb 2.79, 3 Pu 2.80
S (0.2524, 0.7538, 0.0014)  3 Tb 2.77-2.78, 2 Pu 2.80, 1 Sm 2.82
Sm (0.0000, 0.5000, 0.0000)  6 S 2.82
Tb (0.5000, 0.0000, 0.0000)  6 S 2.77
Tb (0.0000, 0.0000, 0.5000)  6 S 2.78-2.79
S (0.7490, 0.7538, 0.0014)  3 Tb 2.77-2.78, 2 Pu 2.80, 1 Sm 2.82
S (0.7476, 0.2462, 0.4953)  3 Tb 2.77-2.78, 2 Pu 2.80, 1 Sm 2.82
Pu (0.5000, 0.5000, 0.0000)  6 S 2.80
S (0.2524, 0.7538, 0.5047)  3 Tb 2.77-2.78, 2 Pu 2.80, 1 Sm 2.82
Pu (0.5000, 0.5000, 0.5000)  6 S 2.80
S (0.7476, 0.2462, 0.9986)  3 Tb 2.77-2.78, 2 Pu 2.80, 1 Sm 2.82
S (0.7504, 0.7512, 0.5008)  3 Tb 2.79, 3 Pu 2.80
S (0.2510, 0.2462, 0.9986)  3 Tb 2.77-2.78, 2 Pu 2.80, 1 Sm 2.82
Tb (0.0000, 0.0000, 0.0000)  6 S 2.78-2.79
Tb (0.5000, 0.0000, 0.5000)  6 S 2.78-2.79
Pu (0.0000, 0.5000, 0.5000)  6 S 2.80

Results
SG	R-3m

4.
Here is a geometry-optimized Ho3Au structure from Alexandria via LeMat-Bulk. Energies are from PBE-GGA.

Cell lengths 3.6902, 5.2598, 6.4679 Å; angles 113.99, 106.57, 90.00 degrees
With the nearest neighbours (Å) after each atom.
Sites, in units of the cell vectors:
Au (0.0000, 0.9170, 0.0000)  8 Ho 2.99-3.21
Ho (0.5000, 0.4166, 0.0000)  4 Au 3.21, 4 Ho 3.53
Ho (0.2909, 0.7074, 0.5817)  2 Au 2.99, 4 Ho 3.34
Ho (0.7091, 0.1257, 0.4183)  2 Au 2.99, 4 Ho 3.34

Results
SG	Immm
DFT formation energy	-0.409	eV/atom

Number 1: electronic total energy -10.05 eV/atom. Number 2: electronic total energy -8.29 eV/atom. Number 3: electronic total energy -8.15 eV/atom. Number 4: electronic total energy -4.66 eV/atom.